## SrYCrCl2 (PBE-GGA)

Data for crystalline SrYCrCl2 at its relaxed geometry.

a = 5.185 Å, b = 5.185 Å, c = 7.992 Å
α = 90.00°, β = 90.00°, γ = 90.00°
Space group P4/mmm (No. 123)
Inequivalent atoms, fractional coordinates:
Sr (0.000, 0.000, 0.000) [1 per cell]
Y (0.000, 0.000, 0.500) [1 per cell]
Cr (0.500, 0.500, 0.000) [1 per cell]
Cl (0.000, 0.500, 0.500) [2 per cell]

Values from the calculation:
Magnetization (μB per formula unit): 5.0
Energy (eV for the cell shown): -23.41
ΔE_f (raw) (eV per formula unit): -1.9
Volume (Å³ per cell): 215



## PaBe4Pt (PBE-GGA)

Data for crystalline PaBe4Pt at its relaxed geometry.

a = 6.843 Å, b = 6.843 Å, c = 6.843 Å
α = 90.00°, β = 90.00°, γ = 90.00°
Space group F-43m (No. 216)
Inequivalent atoms, fractional coordinates:
Pa (0.000, 0.000, 0.000) [4 per cell]
Be (0.129, 0.129, 0.371) [16 per cell]
Pt (0.250, 0.250, 0.750) [4 per cell]

Values from the calculation:
Magnetization (μB per formula unit): 2.9
Energy (eV for the cell shown): -119.64
ΔH_f (0 K) (eV/atom): 0.09
Volume (Å³ per cell): 320



## Tb2GaRh (PBE-GGA)

Data for crystalline Tb2GaRh at its relaxed geometry.

a = 3.3386 Å, b = 3.3386 Å, c = 29.3309 Å
α = 90.00°, β = 90.00°, γ = 120.00°
Space group R-3m (No. 166, hexagonal axes)
Inequivalent atoms, fractional coordinates:
Tb (0.0000, 0.0000, 0.0869) [6 per cell]
Ga (0.0000, 0.0000, 0.5000) [3 per cell]
Rh (0.0000, 0.0000, 0.0000) [3 per cell]

Values from the calculation:
Magnetization (μB per formula unit): 0.0
Energy (eV for the cell shown): -59.32
ΔH_f (0 K) (eV/atom): -0.03
Volume (Å³ per cell): 283



## DyTmZnFe (PBE-GGA)

Data for crystalline DyTmZnFe at its relaxed geometry.

a = 6.872 Å, b = 6.872 Å, c = 6.872 Å
α = 90.00°, β = 90.00°, γ = 90.00°
Space group F-43m (No. 216)
Inequivalent atoms, fractional coordinates:
Dy (0.000, 0.000, 0.000) [4 per cell]
Tm (0.000, 0.000, 0.500) [4 per cell]
Zn (0.250, 0.250, 0.250) [4 per cell]
Fe (0.250, 0.250, 0.750) [4 per cell]

Values from the calculation:
Magnetization (μB per formula unit): 1.2
Energy (eV for the cell shown): -76.71
ΔH_f (0 K) (eV/atom): -0.09
Volume (Å³ per cell): 325



## SiTe2H2 (PBE-GGA)

Data for crystalline SiTe2H2 at its relaxed geometry.

a = 4.031 Å, b = 7.073 Å, c = 27.824 Å
α = 90.00°, β = 90.00°, γ = 90.00°
Space group Fddd (No. 70, origin choice 2)
Inequivalent atoms, fractional coordinates:
Si (0.125, 0.125, 0.125) [8 per cell]
Te (0.125, 0.125, 0.306) [16 per cell]
H (0.125, 0.125, 0.439) [16 per cell]

Values from the calculation:
Magnetization (μB per formula unit): 0.0
Energy (eV for the cell shown): -128.65
Volume (Å³ per cell): 793



## MgAlGa2S6 (PBE-GGA)

Data for crystalline MgAlGa2S6 at its relaxed geometry.

a = 11.647 Å, b = 11.015 Å, c = 6.439 Å
α = 90.00°, β = 103.37°, γ = 90.00°
Space group C2/c (No. 15)
Inequivalent atoms, fractional coordinates:
Mg (0.000, 0.247, 0.250) [4 per cell]
Al (0.000, 0.404, 0.750) [4 per cell]
Ga (0.188, 0.093, 0.810) [8 per cell]
S (0.109, 0.423, 0.116) [8 per cell]
S (0.118, 0.079, 0.114) [8 per cell]
S (0.131, 0.268, 0.633) [8 per cell]

Values from the calculation:
Magnetization (μB per formula unit): 0.0
Energy (eV for the cell shown): -176.26
ΔE_f (raw) (eV per formula unit): -7.9
Volume (Å³ per cell): 804



## Sc4HgSbN (PBE-GGA)

Data for crystalline Sc4HgSbN at its relaxed geometry.

a = 6.187 Å, b = 14.783 Å, c = 6.186 Å
α = 90.00°, β = 90.00°, γ = 90.00°
Space group Cmcm (No. 63)
Inequivalent atoms, fractional coordinates:
Sc (0.000, 0.088, 0.250) [4 per cell]
Sc (0.000, 0.404, 0.250) [4 per cell]
Sc (0.250, 0.250, 0.000) [8 per cell]
Hg (0.000, 0.111, 0.750) [4 per cell]
Sb (0.000, 0.394, 0.750) [4 per cell]
N (0.000, 0.249, 0.250) [4 per cell]

Values from the calculation:
Magnetization (μB per formula unit): 0.0
Energy (eV for the cell shown): -180.17
ΔE_f (raw) (eV per formula unit): -7.0
Volume (Å³ per cell): 566



## CaSbAu (PBE-GGA)

Data for crystalline CaSbAu at its relaxed geometry.

a = 3.710 Å, b = 4.442 Å, c = 9.227 Å
α = 90.00°, β = 90.00°, γ = 90.00°
Space group Imm2 (No. 44)
Inequivalent atoms, fractional coordinates:
Ca (0.000, 0.000, 0.000) [2 per cell]
Sb (0.000, 0.000, 0.662) [2 per cell]
Au (0.000, 0.000, 0.344) [2 per cell]

Values from the calculation:
Magnetization (μB per formula unit): 0.0
Energy (eV for the cell shown): -21.69
ΔE_f (raw) (eV per formula unit): -1.4
Volume (Å³ per cell): 152



## Pr7AuSe5 (PBE-GGA)

Data for crystalline Pr7AuSe5 at its relaxed geometry.

a = 4.186 Å, b = 14.026 Å, c = 25.556 Å
α = 90.00°, β = 90.00°, γ = 90.00°
Space group Cmcm (No. 63)
Inequivalent atoms, fractional coordinates:
Pr (0.000, 0.035, 0.250) [4 per cell]
Pr (0.000, 0.138, 0.537) [8 per cell]
Pr (0.000, 0.305, 0.178) [8 per cell]
Pr (0.000, 0.415, 0.608) [8 per cell]
Au (0.000, 0.303, 0.750) [4 per cell]
Se (0.000, 0.053, 0.644) [8 per cell]
Se (0.000, 0.223, 0.071) [8 per cell]
Se (0.000, 0.500, 0.000) [4 per cell]

Values from the calculation:
Magnetization (μB per formula unit): 0.0
Energy (eV for the cell shown): -295.98
ΔE_f (raw) (eV per formula unit): -19.8
Volume (Å³ per cell): 1501



## NpCuPbS3 (PBE-GGA)

Data for crystalline NpCuPbS3 at its relaxed geometry.

a = 8.345 Å, b = 3.956 Å, c = 8.623 Å
α = 90.00°, β = 103.35°, γ = 90.00°
Space group P2_1/m (No. 11)
Inequivalent atoms, fractional coordinates:
Np (0.173, 0.250, 0.165) [2 per cell]
Cu (0.417, 0.750, 0.418) [2 per cell]
Pb (0.309, 0.750, 0.770) [2 per cell]
S (0.057, 0.250, 0.838) [2 per cell]
S (0.288, 0.250, 0.489) [2 per cell]
S (0.393, 0.750, 0.140) [2 per cell]

Values from the calculation:
Magnetization (μB per formula unit): 4.0
Energy (eV for the cell shown): -75.69
ΔE_f (raw) (eV per formula unit): -4.7
Volume (Å³ per cell): 277



## Nd5DyTh (PBE-GGA)

Data for crystalline Nd5DyTh at its relaxed geometry.

a = 6.297 Å, b = 6.308 Å, c = 7.082 Å
α = 98.84°, β = 98.99°, γ = 111.44°
Space group P-1 (No. 2)
Inequivalent atoms, fractional coordinates:
Nd (0.000, 0.000, 0.000) [1 per cell]
Nd (0.029, 0.592, 0.268) [2 per cell]
Nd (0.405, 0.972, 0.730) [2 per cell]
Dy (0.500, 0.500, 0.500) [1 per cell]
Th (0.500, 0.500, 0.000) [1 per cell]

Values from the calculation:
Magnetization (μB per formula unit): 0.0
Energy (eV for the cell shown): -34.37
ΔH_f (0 K) (eV/atom): 0.21
Volume (Å³ per cell): 252